--- i ---
Compound: Li2Au2I7
Source: the Alexandria database
Functional: PBE
Structure: optimized geometry

abc: 7.832 8.078 8.078
angles: 122.75 93.70 93.70
Fractional positions:
Li 0.500 0.268 0.732
Li 0.500 0.732 0.268
Au 0.284 0.771 0.771
Au 0.716 0.229 0.229
I 0.255 0.543 0.915
I 0.745 0.085 0.457
I 0.745 0.457 0.085
I 0.255 0.915 0.543
I 0.352 0.237 0.237
I 0.000 0.000 0.000
I 0.648 0.763 0.763

SG   C2/m

***

--- ii ---
Compound: Li2Au2I7
Source: the Alexandria database
Functional: PBE
Structure: optimized geometry

abc: 8.417 8.417 14.723
angles: 105.87 105.87 103.29
Fractional positions:
Li 0.288 0.729 0.424
Li 0.271 0.712 0.076
Li 0.729 0.288 0.924
Li 0.712 0.271 0.576
Au 0.125 0.164 0.192
Au 0.164 0.125 0.692
Au 0.836 0.875 0.308
Au 0.875 0.836 0.808
I 0.928 0.637 0.373
I 0.050 0.409 0.089
I 0.363 0.402 0.402
I 0.853 0.147 0.250
I 0.637 0.928 0.873
I 0.409 0.050 0.589
I 0.402 0.363 0.902
I 0.598 0.637 0.098
I 0.591 0.950 0.411
I 0.363 0.072 0.127
I 0.147 0.853 0.750
I 0.637 0.598 0.598
I 0.950 0.591 0.911
I 0.072 0.363 0.627

SG   C2/c

***

Which of them is least stable? Easy: ii.

***

--- i ---
Compound: LiAu2I
Source: the Alexandria database
Functional: PBE
Structure: optimized geometry

abc: 4.977 4.977 4.977
angles: 60.00 60.00 60.00
Fractional positions:
I 0.500 0.500 0.500
Au 0.250 0.250 0.250
Au 0.750 0.750 0.750
Li 0.000 0.000 0.000

SG   Fm-3m

***

--- ii ---
Compound: LiAu2I
Source: the Alexandria database
Functional: PBE
Structure: optimized geometry

abc: 3.926 3.926 12.438
angles: 80.92 80.92 90.00
Fractional positions:
I 0.000 0.000 0.000
I 0.750 0.250 0.500
Au 0.621 0.125 0.250
Au 0.129 0.625 0.250
Au 0.375 0.379 0.750
Au 0.875 0.871 0.750
Li 0.500 0.500 0.000
Li 0.250 0.750 0.500

SG   I-42d

***

Which of them is least stable? Easy: i.

***

--- i ---
Compound: LiAuI
Source: the Alexandria database
Functional: PBE
Structure: optimized geometry

abc: 4.284 4.284 9.860
angles: 83.17 83.17 73.05
Fractional positions:
Au 0.629 0.629 0.583
Au 0.371 0.371 0.417
I 0.822 0.822 0.808
I 0.178 0.178 0.192
Li 0.227 0.227 0.695
Li 0.773 0.773 0.305

SG   C2/m

***

--- ii ---
Compound: LiAuI
Source: the Alexandria database
Functional: PBE
Structure: optimized geometry

abc: 3.407 3.407 7.333
angles: 90.00 90.00 120.00
Fractional positions:
I 0.333 0.667 0.606
Au 0.000 0.000 0.068
Li 0.667 0.333 0.326

SG   P3m1

***

Which of them is least stable? Easy: ii.

***

--- i ---
Compound: Li2AuI
Source: the Alexandria database
Functional: PBE
Structure: optimized geometry

abc: 5.009 5.009 5.009
angles: 60.00 60.00 60.00
Fractional positions:
I 0.000 0.000 0.000
Au 0.500 0.500 0.500
Li 0.250 0.250 0.250
Li 0.750 0.750 0.750

SG   Fm-3m

***

--- ii ---
Compound: Li2AuI
Source: the Alexandria database
Functional: PBE
Structure: optimized geometry

abc: 6.223 6.223 7.581
angles: 65.77 65.77 90.00
Fractional positions:
I 0.500 0.500 0.000
I 0.250 0.750 0.500
Au 0.000 0.000 0.000
Au 0.750 0.250 0.500
Li 0.641 0.125 0.250
Li 0.109 0.625 0.250
Li 0.375 0.359 0.750
Li 0.875 0.891 0.750

SG   I-42d

***

--- iii ---
Compound: Li2AuI
Source: the Alexandria database
Functional: PBE
Structure: optimized geometry

abc: 4.087 4.087 8.262
angles: 75.68 75.68 60.00
Fractional positions:
I 0.000 0.000 0.000
Au 0.500 0.500 0.500
Li 0.107 0.107 0.678
Li 0.893 0.893 0.322

SG   R-3m

***

Which of them is least stable? Easy: iii.

***

--- i ---
Compound: LiAuI2N
Source: the Alexandria database
Functional: PBE
Structure: optimized geometry

abc: 5.411 5.411 3.755
angles: 90.00 90.00 90.00
Fractional positions:
I 0.000 0.500 0.000
I 0.500 0.000 0.000
Li 0.000 0.000 0.000
Au 0.500 0.500 0.500
N 0.000 0.000 0.500

SG   P4/mmm

***

--- ii ---
Compound: LiAuI2N
Source: the Alexandria database
Functional: PBE
Structure: optimized geometry

abc: 6.044 6.044 3.840
angles: 90.00 90.00 90.00
Fractional positions:
I 0.000 0.500 0.000
I 0.500 0.000 0.000
Li 0.500 0.500 0.500
Au 0.000 0.000 0.000
N 0.000 0.000 0.500

SG   P4/mmm

***

Which of them is least stable? Easy: i.

***

--- i ---
Compound: LiAuI2O
Source: the Alexandria database
Functional: PBE
Structure: optimized geometry

abc: 5.640 5.640 3.469
angles: 90.00 90.00 90.00
Fractional positions:
I 0.000 0.500 0.000
I 0.500 0.000 0.000
Au 0.500 0.500 0.500
O 0.000 0.000 0.500
Li 0.000 0.000 0.000

SG   P4/mmm

***

--- ii ---
Compound: LiAuI2O
Source: the Alexandria database
Functional: PBE
Structure: optimized geometry

abc: 5.808 5.808 4.020
angles: 90.00 90.00 90.00
Fractional positions:
I 0.000 0.500 0.000
I 0.500 0.000 0.000
Au 0.000 0.000 0.000
O 0.000 0.000 0.500
Li 0.500 0.500 0.500

SG   P4/mmm

***

Which of them is least stable? Easy: i.

***

--- i ---
Compound: LiSb2AuI
Source: the Alexandria database
Functional: PBE
Structure: optimized geometry

abc: 5.064 5.064 5.186
angles: 90.00 90.00 90.00
Fractional positions:
I 0.000 0.000 0.500
Sb 0.000 0.500 0.000
Sb 0.500 0.000 0.000
Au 0.500 0.500 0.500
Li 0.000 0.000 0.000

SG   P4/mmm

***

--- ii ---
Compound: LiSb2AuI
Source: the Alexandria database
Functional: PBE
Structure: optimized geometry

abc: 5.210 5.210 7.796
angles: 90.00 90.00 90.00
Last column: magnetic moment on the atom in μB.
Fractional positions:
I 0.000 0.000 0.500  0.01
Sb 0.000 0.500 0.000  0.06
Sb 0.500 0.000 0.000  0.06
Au 0.000 0.000 0.000  0.03
Li 0.500 0.500 0.500  0.00

SG   P4/mmm

***

Which of them is least stable? Easy: i.

***

--- i ---
Compound: Mg2Au2I
Source: the Alexandria database
Functional: PBE
Structure: optimized geometry

abc: 4.572 4.572 6.649
angles: 69.89 69.89 90.00
Fractional positions:
I 0.000 0.000 0.000
Mg 0.750 0.250 0.500
Mg 0.250 0.750 0.500
Au 0.376 0.376 0.248
Au 0.624 0.624 0.752

SG   I4/mmm

***

--- ii ---
Compound: Mg2Au2I
Source: the Alexandria database
Functional: PBE
Structure: optimized geometry

abc: 7.958 7.958 3.596
angles: 90.00 90.00 90.00
Fractional positions:
I 0.000 0.000 0.000
I 0.500 0.500 0.000
Mg 0.339 0.839 0.000
Mg 0.839 0.661 0.000
Mg 0.661 0.161 0.000
Mg 0.161 0.339 0.000
Au 0.130 0.630 0.500
Au 0.630 0.870 0.500
Au 0.870 0.370 0.500
Au 0.370 0.130 0.500

SG   P4/mbm

***

Which of them is least stable? Easy: ii.